(1)
Compound: Ba2SiPt
Source: the Alexandria database
Functional: PBE
Structure: optimized geometry

Computed properties:
SG: No. 216
Formation energy without anion corrections (eV/atom): -0.150
Total magnetic moment (μB per atom): 0.00
Theoretical density (g/cm3): 7.683

a b c (Å): 5.3386 5.3386 5.3386
angles (deg): 60.00 60.00 60.00
Last column: nearest neighbours and their distance in Å.
Sites, in units of the cell vectors:
Ba (0.0000, 0.0000, 0.0000)  4 Ba 3.27, 4 Si 3.27
Ba (0.2500, 0.2500, 0.2500)  4 Pt 3.27, 4 Ba 3.27
Si (0.7500, 0.7500, 0.7500)  4 Ba 3.27, 4 Pt 3.27
Pt (0.5000, 0.5000, 0.5000)  4 Si 3.27, 4 Ba 3.27



(2)
Compound: BaSiPt
Source: the Alexandria database
Functional: PBE
Structure: optimized geometry

Computed properties:
SG: No. 216
Formation energy without anion corrections (eV/atom): 0.099
Total magnetic moment (μB per atom): 0.00
Theoretical density (g/cm3): 7.452

a b c (Å): 4.8431 4.8431 4.8431
angles (deg): 60.00 60.00 60.00
Last column: nearest neighbours and their distance in Å.
Sites, in units of the cell vectors:
Ba (0.0000, 0.0000, 0.0000)  4 Si 2.97
Si (0.7500, 0.7500, 0.7500)  4 Pt 2.97, 4 Ba 2.97
Pt (0.5000, 0.5000, 0.5000)  4 Si 2.97



(3)
Compound: BaSiPt
Source: the Alexandria database
Functional: PBE
Structure: optimized geometry

Computed properties:
SG: No. 198
Formation energy without anion corrections (eV/atom): -0.955
Total magnetic moment (μB per atom): 0.00
Theoretical density (g/cm3): 7.908

a b c (Å): 6.7150 6.7150 6.7150
angles (deg): 90.00 90.00 90.00
Last column: nearest neighbours and their distance in Å.
Sites, in units of the cell vectors:
Ba (0.1333, 0.1333, 0.1333)  4 Pt 3.18-3.46, 4 Si 3.35-3.52
Ba (0.3667, 0.8667, 0.6333)  4 Pt 3.18-3.46, 4 Si 3.35-3.52
Ba (0.6333, 0.3667, 0.8667)  4 Pt 3.18-3.46, 4 Si 3.35-3.52
Ba (0.8667, 0.6333, 0.3667)  4 Pt 3.18-3.46, 4 Si 3.35-3.52
Si (0.1545, 0.3455, 0.6545)  3 Pt 2.41
Si (0.3455, 0.6545, 0.1545)  3 Pt 2.41
Si (0.6545, 0.1545, 0.3455)  3 Pt 2.41
Si (0.8455, 0.8455, 0.8455)  3 Pt 2.41
Pt (0.0937, 0.5937, 0.9063)  3 Si 2.41
Pt (0.4063, 0.4063, 0.4063)  3 Si 2.41
Pt (0.5937, 0.9063, 0.0937)  3 Si 2.41
Pt (0.9063, 0.0937, 0.5937)  3 Si 2.41



(4)
Compound: BaSi2Pt
Source: the Alexandria database
Functional: PBE
Structure: optimized geometry

Computed properties:
SG: No. 119
Formation energy without anion corrections (eV/atom): 0.242
Total magnetic moment (μB per atom): 0.00
Theoretical density (g/cm3): 7.394

a b c (Å): 4.9867 4.9867 4.9867
angles (deg): 120.31 120.31 89.46
Last column: nearest neighbours and their distance in Å.
Sites, in units of the cell vectors:
Ba (0.0000, 0.0000, 0.0000)  4 Pt 3.05, 4 Si 3.05
Si (0.5000, 0.5000, 0.0000)  4 Pt 3.05, 4 Si 3.05
Si (0.7500, 0.2500, 0.5000)  4 Si 3.05, 4 Ba 3.05
Pt (0.2500, 0.7500, 0.5000)  4 Si 3.05, 4 Ba 3.05